1.
First-principles (GGA-PBE) data for ScFeIr after structural relaxation, as listed in Alexandria.

The structure belongs to space group Imma (No. 74); the cell edges are 4.858, 5.401 and 7.129 Å and the angles 90.00°, 90.00° and 90.00°. The distinct sites, in fractional coordinates, are Sc at (0.000, 0.250, 0.121), Fe at (0.250, 0.250, 0.750) and Ir at (0.000, 0.000, 0.500).

The formation enthalpy at 0 K is -0.625 eV/atom.


2.
First-principles (GGA-PBE) data for Sc2Fe2Ir after structural relaxation, as listed in Alexandria.

The structure belongs to space group P4/mbm (No. 127); the cell edges are 6.265, 6.265 and 4.046 Å and the angles 90.00°, 90.00° and 90.00°. The distinct sites, in fractional coordinates, are Sc at (0.183, 0.317, 0.000), Fe at (0.119, 0.619, 0.500) and Ir at (0.000, 0.000, 0.500).

The formation enthalpy at 0 K is -0.312 eV/atom.


3.
First-principles (GGA-PBE) data for ScFeIr2 after structural relaxation, as listed in Alexandria.

The structure belongs to space group P2/m (No. 10); the cell edges are 2.819, 4.230 and 5.309 Å and the angles 90.00°, 105.03° and 90.00°. The distinct sites, in fractional coordinates, are Sc at (0.000, 0.000, 0.000), Fe at (0.500, 0.000, 0.500) and Ir at (0.349, 0.500, 0.730).

The formation enthalpy at 0 K is -0.315 eV/atom.


4.
First-principles (GGA-PBE) data for ScFeIr2 after structural relaxation, as listed in Alexandria.

The structure belongs to space group P4mm (No. 99); the cell edges are 3.165, 3.165 and 6.168 Å and the angles 90.00°, 90.00° and 90.00°. The distinct sites, in fractional coordinates, are Sc at (0.000, 0.000, 0.000), Fe at (0.500, 0.500, 0.286), Ir at (0.000, 0.000, 0.463) and Ir at (0.500, 0.500, 0.749).

The formation enthalpy at 0 K is -0.153 eV/atom.